AcLa2TlNi after structural relaxation, computed with PBE.

Cell lengths 5.4332, 5.4332, 5.6789 Å; angles 90.00, 90.00, 90.00 degrees
Closest atoms and distances in Å follow each position.
Space group P4/mmm (No. 123)
Symmetry-distinct sites (fractional):
1 Ac 0.0000 0.0000 0.0000 [1 per cell]  2 Ni 2.84
2 La 0.0000 0.5000 0.5000 [2 per cell]  2 Ni 2.72
3 Tl 0.5000 0.5000 0.0000 [1 per cell]  4 Ac 3.84, 8 La 3.93
4 Ni 0.0000 0.0000 0.5000 [1 per cell]  4 La 2.72, 2 Ac 2.84

V: 33.53 A^3/atom
DFT formation energy: -193 meV per atom
magnetization: 0.00 μB/f.u.
D(E_F): 6.9 states/eV/cell

***

AcLaTlNi after structural relaxation, computed with PBE.

Cell lengths 7.7631, 7.7631, 7.7631 Å; angles 90.00, 90.00, 90.00 degrees
Closest atoms and distances in Å follow each position.
Space group F-43m (No. 216)
Symmetry-distinct sites (fractional):
1 Ac 0.0000 0.0000 0.0000 [4 per cell]  4 Ni 3.36, 4 Tl 3.36
2 La 0.0000 0.0000 0.5000 [4 per cell]  4 Tl 3.36, 4 Ni 3.36
3 Tl 0.2500 0.2500 0.2500 [4 per cell]  4 Ac 3.36, 4 La 3.36
4 Ni 0.2500 0.2500 0.7500 [4 per cell]  4 Ac 3.36, 4 La 3.36

V: 29.24 A^3/atom
DFT formation energy: -151 meV per atom
magnetization: 0.00 μB/f.u.
D(E_F): 15.2 states/eV/cell

***

AcLaZnNi after structural relaxation, computed with PBE.

Cell lengths 7.4665, 7.4665, 7.4665 Å; angles 90.00, 90.00, 90.00 degrees
Closest atoms and distances in Å follow each position.
Space group F-43m (No. 216)
Symmetry-distinct sites (fractional):
1 Ac 0.0000 0.0000 0.0000 [4 per cell]  4 Ni 3.23, 4 Zn 3.23
2 La 0.0000 0.0000 0.5000 [4 per cell]  4 Zn 3.23, 4 Ni 3.23
3 Zn 0.2500 0.2500 0.7500 [4 per cell]  4 Ac 3.23, 4 La 3.23
4 Ni 0.2500 0.2500 0.2500 [4 per cell]  4 La 3.23, 4 Ac 3.23

V: 26.02 A^3/atom
DFT formation energy: -190 meV per atom
magnetization: 0.00 μB/f.u.
E above lowest polymorph: 0.20 eV/f.u.
D(E_F): 11.8 states/eV/cell

***

AcLaZnNi after structural relaxation, computed with PBE.

Cell lengths 4.4231, 4.4672, 10.7119 Å; angles 90.00, 90.00, 90.00 degrees
Closest atoms and distances in Å follow each position.
Space group Amm2 (No. 38)
Symmetry-distinct sites (fractional):
1 Ac 0.0000 0.0000 0.0000 [2 per cell]  3 Ni 3.07-3.20, 4 Zn 3.29
2 La 0.5000 0.0000 0.2897 [2 per cell]  3 Zn 3.08-3.24, 4 Ni 3.25
3 Zn 0.5000 0.0000 0.5920 [2 per cell]  2 Ni 2.57
4 Ni 0.0000 0.0000 0.7134 [2 per cell]  2 Zn 2.57

V: 26.46 A^3/atom
DFT formation energy: -240 meV per atom
magnetization: 0.00 μB/f.u.
E above lowest polymorph: 0.00 eV/f.u.
D(E_F): 7.8 states/eV/cell

***

AcLaNpO6 after structural relaxation, computed with PBE.

Cell lengths 6.1658, 6.1658, 9.3593 Å; angles 90.00, 90.00, 120.00 degrees
Closest atoms and distances in Å follow each position.
Space group P-31c (No. 163)
Symmetry-distinct sites (fractional):
1 Ac 0.3333 0.6667 0.2500 [2 per cell]  6 O 2.51
2 La 0.0000 0.0000 0.0000 [2 per cell]  6 O 2.49
3 Np 0.3333 0.6667 0.7500 [2 per cell]  6 O 2.09
4 O 0.0513 0.3738 0.6320 [12 per cell]  1 Np 2.09

V: 17.12 A^3/atom
magnetization: 1.00 μB/f.u.
uncorrected energy: -159.936 eV/cell

***

AcLa2NpO8 after structural relaxation, computed with PBE.

Cell lengths 4.1672, 7.7782, 5.6804 Å; angles 90.00, 95.32, 90.00 degrees
Closest atoms and distances in Å follow each position.
Space group P2/m (No. 10)
Symmetry-distinct sites (fractional):
1 Ac 0.0000 0.0000 0.0000 [1 per cell]  8 O 2.48-2.64
2 La 0.5000 0.2486 0.5000 [2 per cell]  8 O 2.36-2.64
3 Np 0.0000 0.5000 0.0000 [1 per cell]  6 O 2.04-2.09
4 O 0.0437 0.2924 0.7706 [4 per cell]  1 Np 2.09
5 O 0.4237 0.5000 0.2097 [2 per cell]  1 Np 2.04
6 O 0.4904 0.0000 0.7383 [2 per cell]  2 La 2.36, 2 Ac 2.48-2.64

V: 15.28 A^3/atom
magnetization: 0.00 μB/f.u.
uncorrected energy: -104.697 eV/cell